Entry 1:
La2MoRuI (PBE-GGA, optimized geometry); total DFT energy (no corrections) = -5.228 eV per atom; ΔE_f (raw) = 1074 meV/atom; theoretical density = 5.97 g cm⁻³; space group = No. 123; N(E_F) = 1.14 states/eV/atom
1.0
-3.346 4.789 -0.903
-3.642 -2.115 2.281
1.882 2.280 5.120
Ru La Mo I
1 2 1 1
direct
0.000 0.500 0.000
0.500 0.000 0.000
0.000 0.000 0.500
0.500 0.500 0.500
0.000 0.000 0.000



Entry 2:
TcMo2Cl (PBE-GGA, optimized geometry); total DFT energy (no corrections) = -7.522 eV per atom; energy above the most stable polymorph in this dataset = 272 kJ/mol of formula units; ΔE_f (raw) = 947 meV/atom; theoretical density = 8.67 g cm⁻³; space group = No. 216; N(E_F) = 1.67 states/eV/atom
1.0
4.450 0.000 0.000
2.225 3.854 0.000
2.225 1.285 3.633
Mo Tc Cl
2 1 1
direct
0.250 0.250 0.250
0.000 0.000 0.000
0.750 0.750 0.750
0.500 0.500 0.500



Entry 3:
NbTl3Rh (PBE-GGA, optimized geometry); total DFT energy (no corrections) = -3.655 eV per atom; energy above the most stable polymorph in this dataset = 123 kJ/mol of formula units; theoretical density = 8.50 g cm⁻³; space group = No. 221; N(E_F) = 2.39 states/eV/atom
1.0
-1.463 2.136 -4.746
-4.263 -3.320 -0.180
-2.985 3.694 2.583
Tl Rh Nb
3 1 1
direct
0.000 0.500 0.000
0.000 0.000 0.500
0.500 0.000 0.000
0.500 0.500 0.500
0.000 0.000 0.000



Entry 4:
PmPrSmLu (PBE-GGA, optimized geometry); total DFT energy (no corrections) = -4.573 eV per atom; energy above the most stable polymorph in this dataset = 0 kJ/mol of formula units; theoretical density = 7.56 g cm⁻³; space group = No. 216; N(E_F) = 2.02 states/eV/atom
1.0
5.748 0.000 0.000
2.874 4.978 0.000
2.874 1.659 4.693
Pm Lu Pr Sm
1 1 1 1
direct
0.000 0.000 0.000
0.250 0.250 0.250
0.500 0.500 0.500
0.750 0.750 0.750



Entry 5:
Tl5Sn12Hg3 (PBE-GGA, optimized geometry); total DFT energy (no corrections) = -2.820 eV per atom; theoretical density = 7.36 g cm⁻³; space group = No. 230; N(E_F) = 0.45 states/eV/atom
1.0
15.291 0.000 0.000
-5.097 14.416 0.000
-5.097 -7.208 12.485
Tl Sn Hg
20 48 12
direct
0.125 0.750 0.375
0.875 0.625 0.750
0.750 0.625 0.375
0.250 0.375 0.625
0.375 0.250 0.125
0.500 0.500 0.000
0.000 0.000 0.500
0.750 0.125 0.875
0.000 0.500 0.000
0.250 0.875 0.125
0.875 0.250 0.625
0.125 0.375 0.250
0.375 0.125 0.750
0.000 0.500 0.500
0.500 0.500 0.500
0.000 0.000 0.000
0.625 0.750 0.875
0.500 0.000 0.500
0.625 0.875 0.250
0.500 0.000 0.000
0.564 0.926 0.663
0.099 0.936 0.362
0.436 0.074 0.337
0.926 0.564 0.163
0.862 0.599 0.936
0.138 0.401 0.064
0.936 0.837 0.574
0.936 0.099 0.862
0.074 0.436 0.837
0.926 0.362 0.263
0.064 0.163 0.426
0.237 0.663 0.099
0.901 0.064 0.638
0.763 0.426 0.362
0.426 0.663 0.064
0.574 0.237 0.138
0.426 0.763 0.862
0.064 0.901 0.138
0.837 0.936 0.074
0.237 0.574 0.638
0.901 0.837 0.763
0.663 0.426 0.564
0.099 0.163 0.237
0.337 0.763 0.401
0.362 0.436 0.099
0.574 0.337 0.936
0.401 0.138 0.564
0.663 0.237 0.599
0.737 0.138 0.074
0.337 0.574 0.436
0.837 0.901 0.263
0.564 0.638 0.401
0.362 0.926 0.763
0.436 0.362 0.599
0.163 0.099 0.737
0.074 0.638 0.737
0.263 0.862 0.926
0.638 0.564 0.901
0.599 0.737 0.663
0.763 0.337 0.901
0.638 0.074 0.237
0.862 0.263 0.426
0.401 0.263 0.337
0.163 0.064 0.926
0.138 0.737 0.574
0.263 0.401 0.837
0.737 0.599 0.163
0.599 0.862 0.436
0.875 0.750 0.125
0.625 0.250 0.375
0.375 0.625 0.250
0.750 0.875 0.625
0.125 0.250 0.875
0.250 0.125 0.375
0.375 0.750 0.625
0.250 0.625 0.875
0.875 0.125 0.250
0.125 0.875 0.750
0.625 0.375 0.750
0.750 0.375 0.125



Entry 6:
Tb6P2AuSe3 (PBE-GGA, optimized geometry); total DFT energy (no corrections) = -5.963 eV per atom; ΔE_f (raw) = -1602 meV/atom; theoretical density = 8.25 g cm⁻³; space group = No. 12; N(E_F) = 0.38 states/eV/atom
1.0
4.049 0.000 0.000
0.000 8.276 0.297
-2.024 -2.384 8.624
P Se Tb Au
2 3 6 1
direct
0.168 0.336 0.335
0.832 0.664 0.665
0.500 0.500 0.000
0.166 0.833 0.333
0.834 0.167 0.667
0.328 0.427 0.656
0.672 0.573 0.344
0.331 0.900 0.662
0.669 0.100 0.338
0.005 0.254 0.011
0.995 0.746 0.989
0.500 0.000 0.000



Entry 7:
CaZn6 (PBE-GGA, optimized geometry); total DFT energy (no corrections) = -0.992 eV per atom; energy above the most stable polymorph in this dataset = 389 kJ/mol of formula units; theoretical density = 3.48 g cm⁻³; space group = No. 221; N(E_F) = 0.70 states/eV/atom
1.0
-2.243 -4.280 3.404
5.330 -2.533 0.327
1.222 3.193 4.820
Zn Ca
6 1
direct
0.500 0.500 0.194
0.194 0.500 0.500
0.806 0.500 0.500
0.500 0.194 0.500
0.500 0.500 0.806
0.500 0.806 0.500
0.000 0.000 0.000



Entry 8:
Tm2Mn2AlCo5 (PBE-GGA, optimized geometry); total DFT energy (no corrections) = -6.723 eV per atom; theoretical density = 8.86 g cm⁻³; space group = No. 127; N(E_F) = 0.97 states/eV/atom
1.0
3.263 0.000 0.000
0.000 9.402 0.000
0.000 0.000 9.402
Tm Co Mn Al
4 10 4 2
direct
0.000 0.677 0.177
0.000 0.823 0.677
0.000 0.323 0.823
0.000 0.177 0.323
0.500 0.440 0.298
0.500 0.702 0.440
0.500 0.940 0.202
0.500 0.298 0.560
0.500 0.560 0.702
0.500 0.798 0.940
0.500 0.202 0.060
0.500 0.000 0.500
0.500 0.500 0.000
0.500 0.060 0.798
0.000 0.377 0.123
0.000 0.623 0.877
0.000 0.123 0.623
0.000 0.877 0.377
0.000 0.000 0.000
0.000 0.500 0.500



Entry 9:
Ac6Ge2Te3Pt (PBE-GGA, optimized geometry); total DFT energy (no corrections) = -5.345 eV per atom; ΔE_f (raw) = -1232 meV/atom; theoretical density = 8.03 g cm⁻³; space group = No. 12; N(E_F) = 0.53 states/eV/atom
1.0
4.613 0.000 0.000
0.000 9.488 0.154
-2.307 -2.923 9.805
Ac Te Ge Pt
6 3 2 1
direct
0.005 0.233 0.009
0.995 0.767 0.991
0.343 0.903 0.687
0.673 0.570 0.346
0.327 0.430 0.654
0.657 0.097 0.313
0.170 0.835 0.340
0.830 0.165 0.660
0.500 0.500 0.000
0.836 0.668 0.672
0.164 0.332 0.328
0.500 0.000 0.000



Entry 10:
CsAl2Sn2 (PBE-GGA, optimized geometry); total DFT energy (no corrections) = -3.153 eV per atom; energy above the most stable polymorph in this dataset = 76 kJ/mol of formula units; theoretical density = 4.99 g cm⁻³; space group = No. 127; N(E_F) = 0.46 states/eV/atom
1.0
9.128 0.000 0.000
0.000 9.128 0.000
0.000 0.000 3.387
Cs Sn Al
2 4 4
direct
0.500 0.500 0.000
0.000 0.000 0.000
0.355 0.145 0.500
0.645 0.855 0.500
0.145 0.645 0.500
0.855 0.355 0.500
0.373 0.873 0.000
0.873 0.627 0.000
0.127 0.373 0.000
0.627 0.127 0.000



Entry 11:
SmCd12Hg7 (PBE-GGA, optimized geometry); total DFT energy (no corrections) = -0.899 eV per atom; energy above the most stable polymorph in this dataset = 85 kJ/mol of formula units; theoretical density = 9.72 g cm⁻³; space group = No. 148; N(E_F) = 0.45 states/eV/atom
1.0
7.409 0.000 2.415
-3.798 7.424 3.270
-0.187 0.000 8.956
Hg Cd Sm
7 12 1
direct
0.863 0.952 0.715
0.578 0.715 0.334
0.422 0.285 0.666
0.500 0.000 0.000
0.912 0.334 0.952
0.088 0.666 0.048
0.137 0.048 0.285
0.343 0.561 0.764
0.782 0.675 0.561
0.892 0.236 0.325
0.166 0.679 0.357
0.657 0.439 0.236
0.218 0.325 0.439
0.476 0.643 0.036
0.487 0.964 0.679
0.834 0.321 0.643
0.513 0.036 0.321
0.108 0.764 0.675
0.524 0.357 0.964
0.000 0.000 0.000



Entry 12:
Ca8Pt2Pb (PBE-GGA, optimized geometry); total DFT energy (no corrections) = -3.447 eV per atom; theoretical density = 4.44 g cm⁻³; space group = No. 12; N(E_F) = 0.51 states/eV/atom
1.0
-3.671 -3.448 -2.629
6.486 -1.554 -4.722
0.401 -4.069 7.075
Ca Pt Pb
8 2 1
direct
0.000 0.757 0.249
0.202 0.383 0.383
0.419 0.942 0.673
0.000 0.249 0.757
0.581 0.064 0.333
0.798 0.623 0.623
0.581 0.333 0.064
0.419 0.673 0.942
0.500 0.687 0.319
0.500 0.319 0.687
0.001 0.003 0.003



Repeat the fifth record exactly.
Tl5Sn12Hg3 (PBE-GGA, optimized geometry); total DFT energy (no corrections) = -2.820 eV per atom; theoretical density = 7.36 g cm⁻³; space group = No. 230; N(E_F) = 0.45 states/eV/atom
1.0
15.291 0.000 0.000
-5.097 14.416 0.000
-5.097 -7.208 12.485
Tl Sn Hg
20 48 12
direct
0.125 0.750 0.375
0.875 0.625 0.750
0.750 0.625 0.375
0.250 0.375 0.625
0.375 0.250 0.125
0.500 0.500 0.000
0.000 0.000 0.500
0.750 0.125 0.875
0.000 0.500 0.000
0.250 0.875 0.125
0.875 0.250 0.625
0.125 0.375 0.250
0.375 0.125 0.750
0.000 0.500 0.500
0.500 0.500 0.500
0.000 0.000 0.000
0.625 0.750 0.875
0.500 0.000 0.500
0.625 0.875 0.250
0.500 0.000 0.000
0.564 0.926 0.663
0.099 0.936 0.362
0.436 0.074 0.337
0.926 0.564 0.163
0.862 0.599 0.936
0.138 0.401 0.064
0.936 0.837 0.574
0.936 0.099 0.862
0.074 0.436 0.837
0.926 0.362 0.263
0.064 0.163 0.426
0.237 0.663 0.099
0.901 0.064 0.638
0.763 0.426 0.362
0.426 0.663 0.064
0.574 0.237 0.138
0.426 0.763 0.862
0.064 0.901 0.138
0.837 0.936 0.074
0.237 0.574 0.638
0.901 0.837 0.763
0.663 0.426 0.564
0.099 0.163 0.237
0.337 0.763 0.401
0.362 0.436 0.099
0.574 0.337 0.936
0.401 0.138 0.564
0.663 0.237 0.599
0.737 0.138 0.074
0.337 0.574 0.436
0.837 0.901 0.263
0.564 0.638 0.401
0.362 0.926 0.763
0.436 0.362 0.599
0.163 0.099 0.737
0.074 0.638 0.737
0.263 0.862 0.926
0.638 0.564 0.901
0.599 0.737 0.663
0.763 0.337 0.901
0.638 0.074 0.237
0.862 0.263 0.426
0.401 0.263 0.337
0.163 0.064 0.926
0.138 0.737 0.574
0.263 0.401 0.837
0.737 0.599 0.163
0.599 0.862 0.436
0.875 0.750 0.125
0.625 0.250 0.375
0.375 0.625 0.250
0.750 0.875 0.625
0.125 0.250 0.875
0.250 0.125 0.375
0.375 0.750 0.625
0.250 0.625 0.875
0.875 0.125 0.250
0.125 0.875 0.750
0.625 0.375 0.750
0.750 0.375 0.125



Copy entry 6 word for word.
Tb6P2AuSe3 (PBE-GGA, optimized geometry); total DFT energy (no corrections) = -5.963 eV per atom; ΔE_f (raw) = -1602 meV/atom; theoretical density = 8.25 g cm⁻³; space group = No. 12; N(E_F) = 0.38 states/eV/atom
1.0
4.049 0.000 0.000
0.000 8.276 0.297
-2.024 -2.384 8.624
P Se Tb Au
2 3 6 1
direct
0.168 0.336 0.335
0.832 0.664 0.665
0.500 0.500 0.000
0.166 0.833 0.333
0.834 0.167 0.667
0.328 0.427 0.656
0.672 0.573 0.344
0.331 0.900 0.662
0.669 0.100 0.338
0.005 0.254 0.011
0.995 0.746 0.989
0.500 0.000 0.000



Q: Among the records above, which one has the lowest N(E_F)?
A: Tb6P2AuSe3



Q: Which of these has the lowest theoretical density?
A: CaZn6